Version 1
# BaSr2CaPd, optimized geometry, DFT PBE
# volume	43.98	Å³ per atom
data_BaSr2CaPd
_chemical_formula_sum 'Ba1 Sr2 Ca1 Pd1'
_cell_length_a 6.114
_cell_length_b 6.114
_cell_length_c 5.883
_cell_angle_alpha 90.00
_cell_angle_beta 90.00
_cell_angle_gamma 90.00
_space_group_name_H-M_alt 'P 4/m m m'
_space_group_IT_number 123
_space_group_name_Hall '-P 4 2'
loop_
_atom_site_label
_atom_site_fract_x
_atom_site_fract_y
_atom_site_fract_z
Ba1 0.000 0.000 0.000
Sr1 0.000 0.500 0.500
Ca1 0.500 0.500 0.000
Pd1 0.500 0.500 0.500

Version 2
# BaSr2CaPd, optimized geometry, DFT PBE
# volume	46.26	Å³ per atom
data_BaSr2CaPd
_chemical_formula_sum 'Ba1 Sr2 Ca1 Pd1'
_cell_length_a 6.075
_cell_length_b 6.075
_cell_length_c 6.267
_cell_angle_alpha 90.00
_cell_angle_beta 90.00
_cell_angle_gamma 90.00
_space_group_name_H-M_alt 'P 4/m m m'
_space_group_IT_number 123
_space_group_name_Hall '-P 4 2'
loop_
_atom_site_label
_atom_site_fract_x
_atom_site_fract_y
_atom_site_fract_z
Ba1 0.000 0.000 0.000
Sr1 0.000 0.500 0.500
Ca1 0.500 0.500 0.000
Pd1 0.000 0.000 0.500

Version 3
# BaSr2CaPd, optimized geometry, DFT PBE
# volume	55.73	Å³ per atom
data_BaSr2CaPd
_chemical_formula_sum 'Ba1 Sr2 Ca1 Pd1'
_cell_length_a 6.544
_cell_length_b 6.544
_cell_length_c 6.508
_cell_angle_alpha 90.00
_cell_angle_beta 90.00
_cell_angle_gamma 90.00
_space_group_name_H-M_alt 'P 4/m m m'
_space_group_IT_number 123
_space_group_name_Hall '-P 4 2'
loop_
_atom_site_label
_atom_site_fract_x
_atom_site_fract_y
_atom_site_fract_z
Ba1 0.000 0.000 0.000
Sr1 0.000 0.500 0.500
Ca1 0.000 0.000 0.500
Pd1 0.500 0.500 0.000

Most favorable structure: version 1. The second most favorable one is 0.035 eV/atom above it.

Version 1
# BaSrCa2Pd, optimized geometry, DFT PBE
# volume	42.45	Å³ per atom
data_BaSrCa2Pd
_chemical_formula_sum 'Ba1 Sr1 Ca2 Pd1'
_cell_length_a 5.841
_cell_length_b 5.841
_cell_length_c 6.220
_cell_angle_alpha 90.00
_cell_angle_beta 90.00
_cell_angle_gamma 90.00
_space_group_name_H-M_alt 'P 4/m m m'
_space_group_IT_number 123
_space_group_name_Hall '-P 4 2'
loop_
_atom_site_label
_atom_site_fract_x
_atom_site_fract_y
_atom_site_fract_z
Ba1 0.000 0.000 0.000
Sr1 0.500 0.500 0.000
Ca1 0.000 0.500 0.500
Pd1 0.000 0.000 0.500

Version 2
# BaSrCa2Pd, optimized geometry, DFT PBE
# volume	41.49	Å³ per atom
data_BaSrCa2Pd
_chemical_formula_sum 'Ba1 Sr1 Ca2 Pd1'
_cell_length_a 5.852
_cell_length_b 5.852
_cell_length_c 6.058
_cell_angle_alpha 90.00
_cell_angle_beta 90.00
_cell_angle_gamma 90.00
_space_group_name_H-M_alt 'P 4/m m m'
_space_group_IT_number 123
_space_group_name_Hall '-P 4 2'
loop_
_atom_site_label
_atom_site_fract_x
_atom_site_fract_y
_atom_site_fract_z
Ba1 0.000 0.000 0.000
Sr1 0.500 0.500 0.000
Ca1 0.000 0.500 0.500
Pd1 0.500 0.500 0.500

Most favorable structure: version 2. The second most favorable one is 0.017 eV/atom above it.

Version 1
# BaCaY2Pd, optimized geometry, DFT PBE
# volume	36.62	Å³ per atom
data_BaCaY2Pd
_chemical_formula_sum 'Ba1 Ca1 Y2 Pd1'
_cell_length_a 5.580
_cell_length_b 5.580
_cell_length_c 5.881
_cell_angle_alpha 90.00
_cell_angle_beta 90.00
_cell_angle_gamma 90.00
_space_group_name_H-M_alt 'P 4/m m m'
_space_group_IT_number 123
_space_group_name_Hall '-P 4 2'
loop_
_atom_site_label
_atom_site_fract_x
_atom_site_fract_y
_atom_site_fract_z
Ba1 0.000 0.000 0.000
Ca1 0.500 0.500 0.000
Y1 0.000 0.500 0.500
Pd1 0.500 0.500 0.500

Version 2
# BaCaY2Pd, optimized geometry, DFT PBE
# volume	38.75	Å³ per atom
data_BaCaY2Pd
_chemical_formula_sum 'Ba1 Ca1 Y2 Pd1'
_cell_length_a 5.588
_cell_length_b 5.588
_cell_length_c 6.205
_cell_angle_alpha 90.00
_cell_angle_beta 90.00
_cell_angle_gamma 90.00
_space_group_name_H-M_alt 'P 4/m m m'
_space_group_IT_number 123
_space_group_name_Hall '-P 4 2'
loop_
_atom_site_label
_atom_site_fract_x
_atom_site_fract_y
_atom_site_fract_z
Ba1 0.000 0.000 0.000
Ca1 0.500 0.500 0.000
Y1 0.000 0.500 0.500
Pd1 0.000 0.000 0.500

Most favorable structure: version 1. The second most favorable one is 0.123 eV/atom above it.